1.
## Hf2NpGa (PBE)

Data for Hf2NpGa after structural relaxation.

Properties
The value obtained for the formation enthalpy at 0 K is 7 kJ/mol of formula units. As for the symmetry: P4/mmm (123). The calculation puts the distance to the lowest polymorph of the same formula at 14 meV per atom.

Geometry as POSCAR:
```
Hf2NpGa
1.0
3.0287 0.0000 0.0000
0.0000 3.0287 0.0000
0.0000 0.0000 8.9536
Hf Np Ga
2 1 1
Cartesian
0.0000 0.0000 1.9899
0.0000 0.0000 6.9637
1.5144 1.5144 4.4768
1.5144 1.5144 0.0000
```

=====

2.
## KAs5 (PBE)

Data for KAs5 after structural relaxation.

Properties
The value obtained for the formation enthalpy at 0 K is -14 kJ/mol of formula units. As for the symmetry: Cm (8). The calculation puts the distance to the lowest polymorph of the same formula at 0 meV per atom.

Geometry as POSCAR:
```
KAs5
1.0
12.3021 0.0000 0.0000
0.0000 3.6978 0.0000
-2.5357 0.0000 7.3375
K As
2 10
Cartesian
0.0000 0.0000 0.0000
6.1510 1.8489 0.0000
-0.0960 1.8489 5.2447
1.0807 1.8489 2.9988
1.5513 0.0000 5.0316
3.3713 0.0000 1.2209
3.6688 1.8489 2.8519
6.0551 0.0000 5.2447
7.2317 0.0000 2.9988
7.7024 1.8489 5.0316
9.5223 1.8489 1.2209
9.8199 0.0000 2.8519
```